No. 1
Computed, not measured: CaLa2Mg at its PBEsol-relaxed geometry at the SCAN level of DFT.

The structure belongs to space group Cm (No. 8); the cell edges are 12.369, 3.622 and 6.297 Å and the angles 90.00°, 113.41° and 90.00°. The inequivalent atoms are Ca at (0.000, 0.000, 0.000), La at (0.226, 0.000, 0.607), La at (0.479, 0.000, 0.486) and Mg at (0.242, 0.500, 0.108).

The density of states at the Fermi level comes out at 1.095 states/eV/atom. As for the density: 4.390 g/cm3. The total DFT energy (no corrections) is -25.205 eV per atom. For the formation energy, the calculation gives 0.007 eV per atom.

No. 2
Computed, not measured: SrMg2Re at its PBEsol-relaxed geometry at the SCAN level of DFT.

The structure belongs to space group C2/m (No. 12); the cell edges are 9.919, 2.855 and 6.044 Å and the angles 90.00°, 95.51° and 90.00°. The inequivalent atoms are Sr at (0.000, 0.000, 0.000), Mg at (0.236, 0.000, 0.698) and Re at (0.000, 0.500, 0.500).

Its energy relative to the lowest polymorph listed for this composition is 0 meV per atom. The density of states at the Fermi level comes out at 0.615 states/eV/atom. As for the density: 6.287 g/cm3. The total DFT energy (no corrections) is -25.257 eV per atom. For the formation energy, the calculation gives 0.573 eV per atom.

Look up the total DFT energy (no corrections) of the second one. -25.257 eV per atom

Look up the total DFT energy (no corrections) of the second one. -25.257 eV per atom

density of number 1 (CaLa2Mg)? 4.390 g/cm3

total DFT energy (no corrections) of number 1 (CaLa2Mg)? -25.205 eV per atom